[1]
First-principles (PBE-GGA) data for a relaxed structure of AlTe3Rh, as listed in Alexandria via LeMat-Bulk. Values from VASP.

- space-group type = Pm-3m
- formation energy without anion corrections (eV per atom) = 0.388
- magnetization (μB/cell) = 0.00

Geometry as Quantum ESPRESSO input:
```
&SYSTEM
  ibrav = 0, nat = 5, ntyp = 3
/
ATOMIC_SPECIES
Al 26.98 Al.upf
Te 127.60 Te.upf
Rh 102.91 Rh.upf
CELL_PARAMETERS angstrom
5.2563 0.0000 0.0000
0.0000 5.2563 0.0000
0.0000 0.0000 5.2563
ATOMIC_POSITIONS angstrom
Al 0.0000 0.0000 0.0000
Te 0.0000 2.6281 2.6281
Te 2.6281 0.0000 2.6281
Te 2.6281 2.6281 0.0000
Rh 2.6281 2.6281 2.6281
```

---

[2]
First-principles (PBE-GGA) data for a relaxed structure of CeDy2PbC, as listed in Alexandria via LeMat-Bulk. Values from VASP.

- space-group type = P4/mmm
- magnetization (μB/cell) = 0.59
- energy of formation (meV/atom) = -457

Geometry as Quantum ESPRESSO input:
```
&SYSTEM
  ibrav = 0, nat = 5, ntyp = 4
/
ATOMIC_SPECIES
Ce 140.12 Ce.upf
Dy 162.50 Dy.upf
Pb 207.20 Pb.upf
C 12.01 C.upf
CELL_PARAMETERS angstrom
4.9585 0.0000 0.0000
0.0000 4.9585 0.0000
0.0000 0.0000 4.9388
ATOMIC_POSITIONS angstrom
Ce 0.0000 0.0000 0.0000
Dy 0.0000 2.4793 2.4694
Dy 2.4793 0.0000 2.4694
Pb 2.4793 2.4793 0.0000
C 0.0000 0.0000 2.4694
```

---

[3]
First-principles (PBE-GGA) data for a relaxed structure of Y2AlTe2, as listed in Alexandria via LeMat-Bulk. Values from VASP.

- space-group type = I4/mmm
- formation energy without anion corrections (eV per atom) = -0.345
- magnetization (μB/cell) = 0.00

Geometry as Quantum ESPRESSO input:
```
&SYSTEM
  ibrav = 0, nat = 5, ntyp = 3
/
ATOMIC_SPECIES
Y 88.91 Y.upf
Al 26.98 Al.upf
Te 127.60 Te.upf
CELL_PARAMETERS angstrom
-2.6384 2.6384 6.5420
2.6384 -2.6384 6.5420
2.6384 2.6384 -6.5420
ATOMIC_POSITIONS angstrom
Y 0.0000 0.0000 1.7830
Y 0.0000 0.0000 11.3011
Al 0.0000 0.0000 6.5420
Te 2.6384 0.0000 3.2710
Te 0.0000 2.6384 3.2710
```

---

[4]
First-principles (PBE-GGA) data for a relaxed structure of SrRePt, as listed in Alexandria via LeMat-Bulk. Values from VASP.

- space-group type = P3m1
- magnetization (μB/cell) = 0.00
- energy of formation (meV/atom) = 774

Geometry as Quantum ESPRESSO input:
```
&SYSTEM
  ibrav = 0, nat = 3, ntyp = 3
/
ATOMIC_SPECIES
Sr 87.62 Sr.upf
Re 186.21 Re.upf
Pt 195.08 Pt.upf
CELL_PARAMETERS angstrom
3.0077 0.0000 0.0000
-1.5038 2.6047 0.0000
0.0000 0.0000 7.4703
ATOMIC_POSITIONS angstrom
Sr 0.0000 0.0000 0.0000
Re 0.0000 1.7365 4.7633
Pt 1.5039 0.8682 2.6930
```

---

[5]
First-principles (PBE-GGA) data for a relaxed structure of SiAuCl4, as listed in Alexandria via LeMat-Bulk. Values from VASP.

- space-group type = F-43m
- formation energy without anion corrections (eV per atom) = 0.913
- magnetization (μB/cell) = 1.86

Geometry as Quantum ESPRESSO input:
```
&SYSTEM
  ibrav = 0, nat = 6, ntyp = 3
/
ATOMIC_SPECIES
Si 28.09 Si.upf
Au 196.97 Au.upf
Cl 35.45 Cl.upf
CELL_PARAMETERS angstrom
0.0000 4.1006 4.1006
4.1006 0.0000 4.1006
4.1006 4.1006 0.0000
ATOMIC_POSITIONS angstrom
Si 0.0000 0.0000 0.0000
Au 6.1509 6.1509 6.1509
Cl 3.0811 3.0811 3.0811
Cl 5.1201 5.1201 3.0811
Cl 5.1201 3.0811 5.1201
Cl 3.0811 5.1201 5.1201
```

---

[6]
First-principles (PBE-GGA) data for a relaxed structure of ZnAuSe2, as listed in Alexandria via LeMat-Bulk. Values from VASP.

- space-group type = Imm2
- formation energy without anion corrections (eV per atom) = 0.037
- magnetization (μB/cell) = 0.00

Geometry as Quantum ESPRESSO input:
```
&SYSTEM
  ibrav = 0, nat = 4, ntyp = 3
/
ATOMIC_SPECIES
Zn 65.41 Zn.upf
Au 196.97 Au.upf
Se 78.96 Se.upf
CELL_PARAMETERS angstrom
-1.3799 3.5000 5.0006
1.3799 -3.5000 5.0006
1.3799 3.5000 -5.0006
ATOMIC_POSITIONS angstrom
Zn 0.0000 0.0000 0.0000
Au 1.3799 0.0000 2.1791
Se 0.0000 0.0000 4.4627
Se 0.0000 3.5000 2.8932
```

---

[7]
First-principles (PBE-GGA) data for a relaxed structure of YPaCu2, as listed in Alexandria via LeMat-Bulk. Values from VASP.

- space-group type = Fm-3m
- magnetization (μB/cell) = 0.43
- energy of formation (meV/atom) = 80

Geometry as Quantum ESPRESSO input:
```
&SYSTEM
  ibrav = 0, nat = 4, ntyp = 3
/
ATOMIC_SPECIES
Y 88.91 Y.upf
Pa 231.04 Pa.upf
Cu 63.55 Cu.upf
CELL_PARAMETERS angstrom
0.0000 3.4595 3.4595
3.4595 0.0000 3.4595
3.4595 3.4595 0.0000
ATOMIC_POSITIONS angstrom
Y 0.0000 0.0000 0.0000
Pa 3.4595 3.4595 3.4595
Cu 1.7298 1.7298 1.7298
Cu 5.1893 5.1893 5.1893
```

---

[8]
First-principles (PBE-GGA) data for a relaxed structure of La2MgZn12Ni3, as listed in Alexandria via LeMat-Bulk. Values from VASP.

- space-group type = R-3m
- magnetization (μB/cell) = 0.00
- energy of formation (meV/atom) = 177

Geometry as Quantum ESPRESSO input:
```
&SYSTEM
  ibrav = 0, nat = 18, ntyp = 4
/
ATOMIC_SPECIES
La 138.91 La.upf
Mg 24.30 Mg.upf
Zn 65.41 Zn.upf
Ni 58.69 Ni.upf
CELL_PARAMETERS angstrom
4.1496 2.3958 6.5624
-4.1496 2.3958 6.5624
0.0000 -4.7916 6.5624
ATOMIC_POSITIONS angstrom
La 0.0000 0.0000 1.9758
La 0.0000 0.0000 17.7115
Mg 0.0000 0.0000 9.8436
Zn -2.2569 -1.3030 8.9017
Zn 0.0000 -2.2088 6.5397
Zn -1.9129 1.1044 6.5397
Zn -1.9129 -1.1044 13.1476
Zn 0.0000 -2.6061 10.7856
Zn -2.2569 1.3030 10.7856
Zn 2.2569 -1.3030 8.9017
Zn 0.0000 2.6061 8.9017
Zn 1.9129 1.1044 6.5397
Zn 1.9129 -1.1044 13.1476
Zn 0.0000 2.2088 13.1476
Zn 2.2569 1.3030 10.7856
Ni -2.0748 -1.1979 6.5624
Ni -2.0748 1.1979 13.1249
Ni 0.0000 2.3958 6.5624
```

---

[9]
First-principles (PBE-GGA) data for a relaxed structure of KNbRhS3, as listed in Alexandria via LeMat-Bulk. Values from VASP.

- space-group type = P2_1/m
- formation energy without anion corrections (eV per atom) = -0.943
- magnetization (μB/cell) = 0.00

Geometry as Quantum ESPRESSO input:
```
&SYSTEM
  ibrav = 0, nat = 12, ntyp = 4
/
ATOMIC_SPECIES
K 39.10 K.upf
Nb 92.91 Nb.upf
Rh 102.91 Rh.upf
S 32.06 S.upf
CELL_PARAMETERS angstrom
8.3964 0.0000 0.0000
0.0000 3.5320 0.0000
-3.3759 0.0000 8.7950
ATOMIC_POSITIONS angstrom
K 1.0127 0.8830 2.2124
K 4.0077 2.6490 6.5826
Nb -0.1513 2.6490 7.2900
Nb 5.1717 0.8830 1.5050
Rh -1.0108 0.8830 5.3064
Rh 6.0313 2.6490 3.4886
S -1.8932 0.8830 7.5559
S 0.3858 2.6490 4.9031
S 3.3550 2.6490 1.0965
S 1.6654 0.8830 7.6985
S 4.6346 0.8830 3.8919
S 6.9136 2.6490 1.2391
```

---

[10]
First-principles (PBE-GGA) data for a relaxed structure of Na2LaFe, as listed in Alexandria via LeMat-Bulk. Values from VASP.

- space-group type = I-42d
- magnetization (μB/cell) = 0.00
- energy of formation (meV/atom) = 628

Geometry as Quantum ESPRESSO input:
```
&SYSTEM
  ibrav = 0, nat = 8, ntyp = 3
/
ATOMIC_SPECIES
Na 22.99 Na.upf
La 138.91 La.upf
Fe 55.84 Fe.upf
CELL_PARAMETERS angstrom
-1.9905 1.9905 12.4217
1.9905 -1.9905 12.4217
1.9905 1.9905 -12.4217
ATOMIC_POSITIONS angstrom
Na 2.9857 0.8991 -3.1054
Na 0.8991 0.9952 3.1054
Na -0.9952 1.0914 9.3163
Na 1.0914 0.9952 15.5271
La 1.9905 0.0000 6.2108
La 0.0000 0.0000 12.4217
Fe 0.0000 0.0000 0.0000
Fe 0.0000 1.9905 6.2108
```

---

[11]
First-principles (PBE-GGA) data for a relaxed structure of HWSCl2, as listed in Alexandria via LeMat-Bulk. Values from VASP.

- space-group type = P4/mmm
- magnetization (μB/cell) = 0.00
- uncorrected energy (eV/atom) = -3.76

Geometry as Quantum ESPRESSO input:
```
&SYSTEM
  ibrav = 0, nat = 5, ntyp = 4
/
ATOMIC_SPECIES
H 1.01 H.upf
W 183.84 W.upf
S 32.06 S.upf
Cl 35.45 Cl.upf
CELL_PARAMETERS angstrom
4.7794 0.0000 0.0000
0.0000 4.7794 0.0000
0.0000 0.0000 3.1477
ATOMIC_POSITIONS angstrom
H 0.0000 0.0000 0.0000
W 2.3897 2.3897 1.5739
S 0.0000 0.0000 1.5739
Cl 0.0000 2.3897 0.0000
Cl 2.3897 0.0000 0.0000
```

---

[12]
First-principles (PBE-GGA) data for a relaxed structure of Re8Tc2Ru, as listed in Alexandria via LeMat-Bulk. Values from VASP.

- space-group type = Immm
- magnetization (μB/cell) = 0.00
- energy of formation (meV/atom) = 253

Geometry as Quantum ESPRESSO input:
```
&SYSTEM
  ibrav = 0, nat = 11, ntyp = 3
/
ATOMIC_SPECIES
Re 186.21 Re.upf
Tc 98.00 Tc.upf
Ru 101.07 Ru.upf
CELL_PARAMETERS angstrom
-2.1403 3.0536 6.4402
2.1403 -3.0536 6.4402
2.1403 3.0536 -6.4402
ATOMIC_POSITIONS angstrom
Re 2.1403 1.7337 -1.8672
Re 0.0000 0.0000 2.0555
Re 0.0000 1.8256 0.0000
Re 2.1403 1.7337 1.8672
Re 0.0000 1.3199 4.5730
Re 0.0000 4.2815 0.0000
Re 0.0000 0.0000 10.8249
Re 0.0000 1.3199 8.3075
Tc 2.1403 0.0000 3.8821
Tc 0.0000 3.0536 2.5581
Ru 2.1403 0.0000 0.0000
```